[1]
A plane-wave DFT calculation with PBE was carried out for a geometry-optimized PPd3I structure.

Values from the calculation:
formation energy without anion corrections = 1009 meV/atom
energy relative to the lowest polymorph listed for this composition = 1001 meV/atom

CIF file:
```
data_PPd3I
_chemical_formula_sum 'P1 Pd3 I1'
_cell_length_a 4.9934
_cell_length_b 4.9934
_cell_length_c 4.9934
_cell_angle_alpha 90.00
_cell_angle_beta 90.00
_cell_angle_gamma 90.00
_space_group_name_H-M_alt 'P m -3 m'
_space_group_IT_number 221
_space_group_name_Hall '-P 4 2 3'
loop_
_atom_site_label
_atom_site_fract_x
_atom_site_fract_y
_atom_site_fract_z
_atom_site_occupancy
P1 0.0000 0.0000 0.0000 1
Pd1 0.0000 0.5000 0.5000 1
I1 0.5000 0.5000 0.5000 1
```



[2]
A plane-wave DFT calculation with PBE was carried out for a geometry-optimized P3PdI structure.

Values from the calculation:
formation energy without anion corrections = 858 meV/atom
energy relative to the lowest polymorph listed for this composition = 0 meV/atom

CIF file:
```
data_P3PdI
_chemical_formula_sum 'P3 Pd1 I1'
_cell_length_a 4.7624
_cell_length_b 4.7624
_cell_length_c 4.7624
_cell_angle_alpha 90.00
_cell_angle_beta 90.00
_cell_angle_gamma 90.00
_space_group_name_H-M_alt 'P m -3 m'
_space_group_IT_number 221
_space_group_name_Hall '-P 4 2 3'
loop_
_atom_site_label
_atom_site_fract_x
_atom_site_fract_y
_atom_site_fract_z
_atom_site_occupancy
P1 0.0000 0.0000 0.5000 1
Pd1 0.0000 0.0000 0.0000 1
I1 0.5000 0.5000 0.5000 1
```



[3]
A plane-wave DFT calculation with PBE was carried out for a geometry-optimized PPd3I structure.

Values from the calculation:
formation energy without anion corrections = 8 meV/atom
energy relative to the lowest polymorph listed for this composition = 0 meV/atom

CIF file:
```
data_PPd3I
_chemical_formula_sum 'P1 Pd3 I1'
_cell_length_a 4.6408
_cell_length_b 4.6408
_cell_length_c 4.6408
_cell_angle_alpha 90.00
_cell_angle_beta 90.00
_cell_angle_gamma 90.00
_space_group_name_H-M_alt 'P m -3 m'
_space_group_IT_number 221
_space_group_name_Hall '-P 4 2 3'
loop_
_atom_site_label
_atom_site_fract_x
_atom_site_fract_y
_atom_site_fract_z
_atom_site_occupancy
P1 0.0000 0.0000 0.0000 1
Pd1 0.0000 0.0000 0.5000 1
I1 0.5000 0.5000 0.5000 1
```



[4]
A plane-wave DFT calculation with PBE was carried out for a geometry-optimized PPd2I structure.

Values from the calculation:
formation energy without anion corrections = 299 meV/atom
energy relative to the lowest polymorph listed for this composition = 385 meV/atom

CIF file:
```
data_PPd2I
_chemical_formula_sum 'P4 Pd8 I4'
_cell_length_a 6.6313
_cell_length_b 6.6313
_cell_length_c 6.6313
_cell_angle_alpha 90.00
_cell_angle_beta 90.00
_cell_angle_gamma 90.00
_space_group_name_H-M_alt 'F m -3 m'
_space_group_IT_number 225
_space_group_name_Hall '-F 4 2 3'
loop_
_atom_site_label
_atom_site_fract_x
_atom_site_fract_y
_atom_site_fract_z
_atom_site_occupancy
P1 0.0000 0.0000 0.0000 1
Pd1 0.2500 0.2500 0.2500 1
I1 0.0000 0.0000 0.5000 1
```



[5]
A plane-wave DFT calculation with PBE was carried out for a geometry-optimized PPd2I structure.

Values from the calculation:
formation energy without anion corrections = -86 meV/atom
energy relative to the lowest polymorph listed for this composition = 0 meV/atom

CIF file:
```
data_PPd2I
_chemical_formula_sum 'P4 Pd8 I4'
_cell_length_a 6.4089
_cell_length_b 6.4089
_cell_length_c 9.0329
_cell_angle_alpha 90.00
_cell_angle_beta 90.00
_cell_angle_gamma 90.00
_space_group_name_H-M_alt 'I -4 2 d'
_space_group_IT_number 122
_space_group_name_Hall 'I -4 2bw'
loop_
_atom_site_label
_atom_site_fract_x
_atom_site_fract_y
_atom_site_fract_z
_atom_site_occupancy
P1 0.0000 0.0000 0.0000 1
Pd1 0.1816 0.7500 0.1250 1
I1 0.0000 0.0000 0.5000 1
```



[6]
A plane-wave DFT calculation with PBE was carried out for a geometry-optimized Pm4PPdI2 structure.

Values from the calculation:
formation energy without anion corrections = -1066 meV/atom

CIF file:
```
data_Pm4PPdI2
_chemical_formula_sum 'Pm4 P1 Pd1 I2'
_cell_length_a 7.5786
_cell_length_b 4.1271
_cell_length_c 7.9699
_cell_angle_alpha 90.00
_cell_angle_beta 106.67
_cell_angle_gamma 90.00
_space_group_name_H-M_alt 'P 1 2/m 1'
_space_group_IT_number 10
_space_group_name_Hall '-P 2y'
loop_
_atom_site_label
_atom_site_fract_x
_atom_site_fract_y
_atom_site_fract_z
_atom_site_occupancy
Pm1 0.2195 0.0000 0.1963 1
Pm2 0.2721 0.5000 0.8083 1
P1 0.0000 0.5000 0.0000 1
Pd1 0.5000 0.0000 0.0000 1
I1 0.0000 0.0000 0.5000 1
I2 0.5000 0.5000 0.5000 1
```



[7]
A plane-wave DFT calculation with PBE was carried out for a geometry-optimized Pr8PPd3I4 structure.

Values from the calculation:
formation energy without anion corrections = -945 meV/atom

CIF file:
```
data_Pr8PPd3I4
_chemical_formula_sum 'Pr24 P3 Pd9 I12'
_cell_length_a 8.6060
_cell_length_b 8.6060
_cell_length_c 23.8060
_cell_angle_alpha 90.00
_cell_angle_beta 90.00
_cell_angle_gamma 120.00
_space_group_name_H-M_alt 'R -3 m'
_space_group_IT_number 166
_space_group_name_Hall '-R 3 2"'
loop_
_atom_site_label
_atom_site_fract_x
_atom_site_fract_y
_atom_site_fract_z
_atom_site_occupancy
Pr1 0.0000 0.0000 0.2294 1
Pr2 0.0035 0.5018 0.2322 1
P1 0.0000 0.0000 0.5000 1
Pd1 0.0000 0.5000 0.5000 1
I1 0.0000 0.0000 0.0000 1
I2 0.0000 0.5000 0.0000 1
```



[8]
A plane-wave DFT calculation with PBE was carried out for a geometry-optimized PPd2PtI structure.

Values from the calculation:
formation energy without anion corrections = 1182 meV/atom
energy relative to the lowest polymorph listed for this composition = 654 meV/atom

CIF file:
```
data_PPd2PtI
_chemical_formula_sum 'P1 Pd2 Pt1 I1'
_cell_length_a 4.9576
_cell_length_b 4.9576
_cell_length_c 5.0183
_cell_angle_alpha 90.00
_cell_angle_beta 90.00
_cell_angle_gamma 90.00
_space_group_name_H-M_alt 'P 4/m m m'
_space_group_IT_number 123
_space_group_name_Hall '-P 4 2'
loop_
_atom_site_label
_atom_site_fract_x
_atom_site_fract_y
_atom_site_fract_z
_atom_site_occupancy
P1 0.0000 0.0000 0.0000 1
Pd1 0.0000 0.5000 0.5000 1
Pt1 0.5000 0.5000 0.0000 1
I1 0.5000 0.5000 0.5000 1
```



[9]
A plane-wave DFT calculation with PBE was carried out for a geometry-optimized PPd2PtI structure.

Values from the calculation:
formation energy without anion corrections = 528 meV/atom
energy relative to the lowest polymorph listed for this composition = 0 meV/atom

CIF file:
```
data_PPd2PtI
_chemical_formula_sum 'P1 Pd2 Pt1 I1'
_cell_length_a 4.4048
_cell_length_b 4.4048
_cell_length_c 5.5182
_cell_angle_alpha 90.00
_cell_angle_beta 90.00
_cell_angle_gamma 90.00
_space_group_name_H-M_alt 'P 4/m m m'
_space_group_IT_number 123
_space_group_name_Hall '-P 4 2'
loop_
_atom_site_label
_atom_site_fract_x
_atom_site_fract_y
_atom_site_fract_z
_atom_site_occupancy
P1 0.0000 0.0000 0.0000 1
Pd1 0.0000 0.5000 0.0000 1
Pt1 0.5000 0.5000 0.5000 1
I1 0.0000 0.0000 0.5000 1
```



[10]
A plane-wave DFT calculation with PBE was carried out for a geometry-optimized PPdSI2 structure.

Values from the calculation:
formation energy without anion corrections = 739 meV/atom

CIF file:
```
data_PPdSI2
_chemical_formula_sum 'P1 Pd1 S1 I2'
_cell_length_a 5.5707
_cell_length_b 5.5707
_cell_length_c 4.5657
_cell_angle_alpha 90.00
_cell_angle_beta 90.00
_cell_angle_gamma 90.00
_space_group_name_H-M_alt 'P 4/m m m'
_space_group_IT_number 123
_space_group_name_Hall '-P 4 2'
loop_
_atom_site_label
_atom_site_fract_x
_atom_site_fract_y
_atom_site_fract_z
_atom_site_occupancy
P1 0.0000 0.0000 0.0000 1
Pd1 0.5000 0.5000 0.5000 1
S1 0.5000 0.5000 0.0000 1
I1 0.0000 0.5000 0.5000 1
```



[11]
A plane-wave DFT calculation with PBE was carried out for a geometry-optimized P2PdSI structure.

Values from the calculation:
formation energy without anion corrections = 752 meV/atom
energy relative to the lowest polymorph listed for this composition = 0 meV/atom

CIF file:
```
data_P2PdSI
_chemical_formula_sum 'P2 Pd1 S1 I1'
_cell_length_a 4.7710
_cell_length_b 4.7710
_cell_length_c 4.7418
_cell_angle_alpha 90.00
_cell_angle_beta 90.00
_cell_angle_gamma 90.00
_space_group_name_H-M_alt 'P 4/m m m'
_space_group_IT_number 123
_space_group_name_Hall '-P 4 2'
loop_
_atom_site_label
_atom_site_fract_x
_atom_site_fract_y
_atom_site_fract_z
_atom_site_occupancy
P1 0.0000 0.5000 0.0000 1
Pd1 0.0000 0.0000 0.0000 1
S1 0.0000 0.0000 0.5000 1
I1 0.5000 0.5000 0.5000 1
```



[12]
A plane-wave DFT calculation with PBE was carried out for a geometry-optimized SbPPdI2 structure.

Values from the calculation:
formation energy without anion corrections = 709 meV/atom
energy relative to the lowest polymorph listed for this composition = 0 meV/atom

CIF file:
```
data_SbPPdI2
_chemical_formula_sum 'Sb1 P1 Pd1 I2'
_cell_length_a 5.4179
_cell_length_b 5.4179
_cell_length_c 5.3089
_cell_angle_alpha 90.00
_cell_angle_beta 90.00
_cell_angle_gamma 90.00
_space_group_name_H-M_alt 'P 4/m m m'
_space_group_IT_number 123
_space_group_name_Hall '-P 4 2'
loop_
_atom_site_label
_atom_site_fract_x
_atom_site_fract_y
_atom_site_fract_z
_atom_site_occupancy
Sb1 0.0000 0.0000 0.0000 1
P1 0.5000 0.5000 0.0000 1
Pd1 0.0000 0.0000 0.5000 1
I1 0.0000 0.5000 0.5000 1
```



Number 1: total energy -0.25713 Ry/atom. Number 2: total energy -0.27464 Ry/atom. Number 3: total energy -0.33069 Ry/atom. Number 4: total energy -0.29677 Ry/atom. Number 5: total energy -0.32506 Ry/atom. Number 6: total energy -0.37883 Ry/atom. Number 7: total energy -0.37002 Ry/atom. Number 8: total energy -0.25688 Ry/atom. Number 9: total energy -0.30495 Ry/atom. Number 10: total energy -0.20781 Ry/atom. Number 11: total energy -0.26353 Ry/atom. Number 12: total energy -0.20993 Ry/atom.